1.
First-principles (PBE) data for a relaxed structure of PmScCdGa, as listed in the Alexandria database.

a b c (Å): 5.1044 5.1044 5.1044
angles (deg): 60.00 60.00 60.00
Closest atoms and distances in Å follow each position.
Element x y z (fractional)
Pm 0.0000 0.0000 0.0000  4 Cd 3.13, 4 Ga 3.13
Sc 0.5000 0.5000 0.5000  4 Cd 3.13, 4 Ga 3.13
Cd 0.7500 0.7500 0.7500  4 Pm 3.13, 4 Sc 3.13
Ga 0.2500 0.2500 0.2500  4 Sc 3.13, 4 Pm 3.13

Output
**Uncorrected energy**: -0.30655 Ry per atom
**Symmetry**: F-43m
**N(E_F)**: 4.052 states/eV per cell



2.
First-principles (PBE) data for a relaxed structure of YInSb2Te, as listed in the Alexandria database.

a b c (Å): 5.8303 5.8303 5.8688
angles (deg): 90.00 90.00 90.00
Closest atoms and distances in Å follow each position.
Element x y z (fractional)
Y 0.0000 0.0000 0.0000  4 Sb 2.92, 2 Te 2.93
In 0.5000 0.5000 0.5000  4 Te 4.12, 8 Sb 4.14
Sb 0.0000 0.5000 0.0000  2 Y 2.92
Sb 0.5000 0.0000 0.0000  2 Y 2.92
Te 0.0000 0.0000 0.5000  2 Y 2.93

Output
**Uncorrected energy**: -0.29908 Ry per atom
**Symmetry**: P4/mmm
**Energy relative to the elements, uncorrected**: 0.049 eV/atom
**E above lowest polymorph**: 0 meV per atom
**N(E_F)**: 5.377 states/eV per cell



3.
First-principles (PBE) data for a relaxed structure of TbScCdPd, as listed in the Alexandria database.

a b c (Å): 5.0026 5.0026 5.0026
angles (deg): 60.00 60.00 60.00
Closest atoms and distances in Å follow each position.
Element x y z (fractional)
Tb 0.0000 0.0000 0.0000  4 Cd 3.06, 4 Pd 3.06
Sc 0.5000 0.5000 0.5000  4 Cd 3.06, 4 Pd 3.06
Cd 0.2500 0.2500 0.2500  4 Tb 3.06, 4 Sc 3.06
Pd 0.7500 0.7500 0.7500  4 Tb 3.06, 4 Sc 3.06

Output
**Uncorrected energy**: -0.35164 Ry per atom
**Symmetry**: F-43m
**N(E_F)**: 3.030 states/eV per cell



4.
First-principles (PBE) data for a relaxed structure of Er5Zn2Te, as listed in the Alexandria database.

a b c (Å): 8.4643 8.4643 8.4643
angles (deg): 123.02 123.02 84.84
Closest atoms and distances in Å follow each position.
Element x y z (fractional)
Er 0.0000 0.0000 0.0000  4 Zn 3.11, 2 Te 3.12
Er 0.0094 0.5094 0.8049  3 Zn 2.95-2.97
Er 0.2045 0.0094 0.5000  3 Zn 2.95-2.97
Er 0.2955 0.7955 0.8049  3 Zn 2.95-2.97
Er 0.4906 0.2955 0.5000  3 Zn 2.95-2.97
Er 0.5000 0.5000 0.0000  4 Zn 3.11, 2 Te 3.12
Er 0.5094 0.7045 0.5000  3 Zn 2.95-2.97
Er 0.7045 0.2045 0.1951  3 Zn 2.95-2.97
Er 0.7955 0.9906 0.5000  3 Zn 2.95-2.97
Er 0.9906 0.4906 0.1951  3 Zn 2.95-2.97
Zn 0.1417 0.3583 0.5000  8 Er 2.95-3.11, 1 Zn 3.24
Zn 0.3583 0.8583 0.2165  8 Er 2.95-3.11, 1 Zn 3.24
Zn 0.6417 0.1417 0.7835  8 Er 2.95-3.11, 1 Zn 3.24
Zn 0.8583 0.6417 0.5000  8 Er 2.95-3.11, 1 Zn 3.24
Te 0.2500 0.2500 0.0000  10 Er 3.12-3.34
Te 0.7500 0.7500 0.0000  10 Er 3.12-3.34

Output
**Uncorrected energy**: -0.29744 Ry per atom
**Symmetry**: I4/mcm
**Energy relative to the elements, uncorrected**: -0.484 eV/atom
**N(E_F)**: 15.611 states/eV per cell



5.
First-principles (PBE) data for a relaxed structure of Ca4Ag3Bi8, as listed in the Alexandria database.

a b c (Å): 4.7107 4.7107 19.5142
angles (deg): 90.00 90.00 90.00
Closest atoms and distances in Å follow each position.
Element x y z (fractional)
Ca 0.0000 0.5000 0.1096  2 Ag 3.18, 8 Bi 3.36-3.53
Ca 0.0000 0.5000 0.6210  4 Ag 3.33, 8 Bi 3.36-3.56
Ca 0.5000 0.0000 0.3790  4 Ag 3.33, 8 Bi 3.36-3.56
Ca 0.5000 0.0000 0.8904  2 Ag 3.18, 8 Bi 3.36-3.53
Ag 0.0000 0.0000 0.0000  4 Bi 2.90, 4 Ca 3.18
Ag 0.0000 0.0000 0.5000  4 Bi 3.02, 4 Ag 3.33, 4 Ca 3.33
Ag 0.5000 0.5000 0.5000  4 Bi 3.02, 4 Ag 3.33, 4 Ca 3.33
Bi 0.0000 0.0000 0.2442  4 Bi 3.33, 4 Ca 3.53
Bi 0.0000 0.0000 0.7558  4 Bi 3.33, 4 Ca 3.53
Bi 0.0000 0.5000 0.4031  4 Ag 3.02, 4 Ca 3.36
Bi 0.0000 0.5000 0.9131  2 Ag 2.90
Bi 0.5000 0.0000 0.0869  2 Ag 2.90
Bi 0.5000 0.0000 0.5969  4 Ag 3.02, 4 Ca 3.36
Bi 0.5000 0.5000 0.2422  4 Bi 3.33, 4 Ca 3.50-3.56
Bi 0.5000 0.5000 0.7578  4 Bi 3.33, 4 Ca 3.50-3.56

Output
**Uncorrected energy**: -0.26126 Ry per atom
**Symmetry**: P-4m2
**N(E_F)**: 8.999 states/eV per cell



6.
First-principles (PBE) data for a relaxed structure of KMg2CdPd, as listed in the Alexandria database.

a b c (Å): 5.1337 5.1337 5.3667
angles (deg): 90.00 90.00 90.00
Closest atoms and distances in Å follow each position.
Element x y z (fractional)
K 0.0000 0.0000 0.0000  4 Cd 3.63, 8 Mg 3.71
Mg 0.0000 0.5000 0.5000  2 Pd 2.57
Mg 0.5000 0.0000 0.5000  2 Pd 2.57
Cd 0.5000 0.5000 0.0000  2 Pd 2.68
Pd 0.5000 0.5000 0.5000  4 Mg 2.57, 2 Cd 2.68

Output
**Uncorrected energy**: -0.16850 Ry per atom
**Symmetry**: P4/mmm
**N(E_F)**: 1.449 states/eV per cell



7.
First-principles (PBE) data for a relaxed structure of Sr3AlIn6Sn2, as listed in the Alexandria database.

a b c (Å): 6.2563 6.2563 10.7764
angles (deg): 90.00 90.00 120.00
Closest atoms and distances in Å follow each position.
Element x y z (fractional)
Sr 0.0000 0.0000 0.0000  6 In 3.52, 6 Sn 3.63
Sr 0.3333 0.6667 0.5717  9 In 3.52-3.62, 3 Al 3.69, 3 Sr 3.93
Sr 0.6667 0.3333 0.4283  9 In 3.52-3.62, 3 Al 3.69, 3 Sr 3.93
Al 0.0000 0.0000 0.5000  6 In 3.00
In 0.1684 0.3367 0.2792  1 Al 3.00, 4 In 3.10-3.16, 1 Sn 3.16
In 0.1684 0.8316 0.2792  1 Al 3.00, 4 In 3.10-3.16, 1 Sn 3.16
In 0.3367 0.1684 0.7208  1 Al 3.00, 4 In 3.10-3.16, 1 Sn 3.16
In 0.6633 0.8316 0.2792  1 Al 3.00, 4 In 3.10-3.16, 1 Sn 3.16
In 0.8316 0.1684 0.7208  1 Al 3.00, 4 In 3.10-3.16, 1 Sn 3.16
In 0.8316 0.6633 0.7208  1 Al 3.00, 4 In 3.10-3.16, 1 Sn 3.16
Sn 0.3333 0.6667 0.0374  3 In 3.16
Sn 0.6667 0.3333 0.9626  3 In 3.16

Output
**Uncorrected energy**: -0.21914 Ry per atom
**Symmetry**: P-3m1
**N(E_F)**: 6.507 states/eV per cell



8.
First-principles (PBE) data for a relaxed structure of Tb2SmDyY, as listed in the Alexandria database.

a b c (Å): 7.1280 7.1280 7.1915
angles (deg): 90.00 90.00 107.95
Closest atoms and distances in Å follow each position.
Element x y z (fractional)
Tb 0.1908 0.1908 0.0000  2 Dy 3.16, 1 Tb 3.20, 2 Sm 3.49
Tb 0.1908 0.1908 0.5000  2 Dy 3.16, 1 Tb 3.20, 2 Sm 3.49
Tb 0.8092 0.8092 0.0000  2 Dy 3.16, 1 Tb 3.20, 2 Sm 3.49
Tb 0.8092 0.8092 0.5000  2 Dy 3.16, 1 Tb 3.20, 2 Sm 3.49
Sm 0.2190 0.7810 0.7500  1 Dy 3.07
Sm 0.7810 0.2190 0.2500  1 Dy 3.07
Dy 0.4853 0.5147 0.7500  1 Sm 3.07, 4 Tb 3.16, 1 Y 3.24
Dy 0.5147 0.4853 0.2500  1 Sm 3.07, 4 Tb 3.16, 1 Y 3.24
Y 0.2335 0.7665 0.2500  1 Dy 3.24, 2 Sm 3.60, 4 Tb 3.61
Y 0.7665 0.2335 0.7500  1 Dy 3.24, 2 Sm 3.60, 4 Tb 3.61

Output
**Uncorrected energy**: -0.33958 Ry per atom
**Symmetry**: Cmcm
**N(E_F)**: 15.216 states/eV per cell



9.
First-principles (PBE) data for a relaxed structure of FeTc2W, as listed in the Alexandria database.

a b c (Å): 4.6750 4.6716 3.8793
angles (deg): 65.52 65.43 49.04
Closest atoms and distances in Å follow each position.
Element x y z (fractional)
Fe 0.0000 0.0000 0.0000  8 Tc 2.71, 4 W 2.74-2.75
Tc 0.2500 0.2500 0.2500  4 W 2.71, 4 Fe 2.71, 4 Tc 2.74-2.75
Tc 0.7500 0.7500 0.7500  4 W 2.71, 4 Fe 2.71, 4 Tc 2.74-2.75
W 0.5000 0.5000 0.5000  8 Tc 2.71, 4 Fe 2.74-2.75

Output
**Uncorrected energy**: -0.76334 Ry per atom
**Symmetry**: Fmmm
**N(E_F)**: 4.506 states/eV per cell



10.
First-principles (PBE) data for a relaxed structure of SmHfZnGa, as listed in the Alexandria database.

a b c (Å): 4.9101 4.9101 4.9101
angles (deg): 60.00 60.00 60.00
Closest atoms and distances in Å follow each position.
Element x y z (fractional)
Sm 0.0000 0.0000 0.0000  4 Zn 3.01, 4 Ga 3.01
Hf 0.5000 0.5000 0.5000  4 Zn 3.01, 4 Ga 3.01
Zn 0.7500 0.7500 0.7500  4 Sm 3.01, 4 Hf 3.01
Ga 0.2500 0.2500 0.2500  4 Hf 3.01, 4 Sm 3.01

Output
**Uncorrected energy**: -0.37006 Ry per atom
**Symmetry**: F-43m
**N(E_F)**: 1.937 states/eV per cell



11.
First-principles (PBE) data for a relaxed structure of Sc4TeOs, as listed in the Alexandria database.

a b c (Å): 7.4485 3.9375 18.1044
angles (deg): 90.00 90.00 90.00
Closest atoms and distances in Å follow each position.
Element x y z (fractional)
Sc 0.0007 0.2500 0.0655  3 Os 2.71-2.89, 1 Te 2.97
Sc 0.0657 0.2500 0.7926  4 Te 3.00-3.04, 1 Os 3.05, 4 Sc 3.25-3.27
Sc 0.1244 0.2500 0.3577  2 Os 2.67
Sc 0.1408 0.2500 0.5411  3 Os 2.77-2.93
Sc 0.3592 0.7500 0.0411  3 Os 2.77-2.93
Sc 0.3756 0.7500 0.8577  2 Os 2.67
Sc 0.4343 0.7500 0.2926  4 Te 3.00-3.04, 1 Os 3.05, 4 Sc 3.25-3.27
Sc 0.4993 0.7500 0.5655  3 Os 2.71-2.89, 1 Te 2.97
Sc 0.5007 0.2500 0.4345  3 Os 2.71-2.89, 1 Te 2.97
Sc 0.5657 0.2500 0.7074  4 Te 3.00-3.04, 1 Os 3.05, 4 Sc 3.25-3.27
Sc 0.6244 0.2500 0.1423  2 Os 2.67
Sc 0.6408 0.2500 0.9589  3 Os 2.77-2.93
Sc 0.8592 0.7500 0.4589  3 Os 2.77-2.93
Sc 0.8756 0.7500 0.6423  2 Os 2.67
Sc 0.9343 0.7500 0.2074  4 Te 3.00-3.04, 1 Os 3.05, 4 Sc 3.25-3.27
Sc 0.9993 0.7500 0.9345  3 Os 2.71-2.89, 1 Te 2.97
Te 0.2434 0.2500 0.1957  7 Sc 2.97-3.06
Te 0.2566 0.7500 0.6957  7 Sc 2.97-3.06
Te 0.7434 0.2500 0.3043  7 Sc 2.97-3.06
Te 0.7566 0.7500 0.8043  7 Sc 2.97-3.06
Os 0.2491 0.2500 0.9431  8 Sc 2.67-2.93
Os 0.2509 0.7500 0.4431  8 Sc 2.67-2.93
Os 0.7491 0.2500 0.5569  8 Sc 2.67-2.93
Os 0.7509 0.7500 0.0569  8 Sc 2.67-2.93

Output
**Uncorrected energy**: -0.53359 Ry per atom
**Symmetry**: Pnma
**Energy relative to the elements, uncorrected**: -0.644 eV/atom
**E above lowest polymorph**: 0 meV per atom
**N(E_F)**: 21.225 states/eV per cell



12.
First-principles (PBE) data for a relaxed structure of ZnTc3N, as listed in the Alexandria database.

a b c (Å): 4.6510 5.2739 5.3233
angles (deg): 90.32 98.94 97.62
Closest atoms and distances in Å follow each position.
Element x y z (fractional)
Zn 0.0000 0.0000 0.0000  1 N 2.20
Zn 0.0714 0.8763 0.4843  2 Zn 2.64-2.90, 9 Tc 2.65-2.94, 2 N 2.84-2.93
Tc 0.0880 0.5037 0.8943  2 N 2.09-2.18
Tc 0.1343 0.3677 0.3737  1 N 2.12
Tc 0.5154 0.1874 0.7978  2 N 2.06-2.22
Tc 0.5578 0.6844 0.6732  2 N 2.09-2.11
Tc 0.5763 0.0710 0.3076  2 N 2.10-2.13
Tc 0.6399 0.5662 0.1860  2 N 2.05-2.23
N 0.4025 0.8251 0.9926  5 Tc 2.05-2.22, 1 Zn 2.20
N 0.7658 0.3865 0.5580  6 Tc 2.06-2.23

Output
**Uncorrected energy**: -0.59207 Ry per atom
**Symmetry**: P1
**Energy relative to the elements, uncorrected**: 0.084 eV/atom
**E above lowest polymorph**: 61 meV per atom
**N(E_F)**: 7.750 states/eV per cell



13.
First-principles (PBE) data for a relaxed structure of FeCuMo2N, as listed in the Alexandria database.

a b c (Å): 4.0939 4.0939 3.7507
angles (deg): 90.00 90.00 90.00
Closest atoms and distances in Å follow each position.
Element x y z (fractional)
Fe 0.0000 0.0000 0.0000  2 N 1.88
Cu 0.5000 0.5000 0.0000  8 Mo 2.78, 4 Fe 2.89
Mo 0.0000 0.5000 0.5000  2 N 2.05
Mo 0.5000 0.0000 0.5000  2 N 2.05
N 0.0000 0.0000 0.5000  2 Fe 1.88, 4 Mo 2.05

Output
**Uncorrected energy**: -0.62568 Ry per atom
**Symmetry**: P4/mmm
**Energy relative to the elements, uncorrected**: -0.004 eV/atom
**N(E_F)**: 3.927 states/eV per cell



14.
First-principles (PBE) data for a relaxed structure of MnAs2Pt, as listed in the Alexandria database.

a b c (Å): 6.8398 6.8398 6.8398
angles (deg): 131.98 131.98 70.26
Closest atoms and distances in Å follow each position.
Element x y z (fractional)
Mn 0.0000 0.0000 0.0000  4 As 2.39
Mn 0.7500 0.2500 0.5000  4 As 2.39
As 0.1168 0.6250 0.9918  2 Mn 2.39, 2 Pt 2.44
As 0.3750 0.3668 0.4918  2 Mn 2.39, 2 Pt 2.44
As 0.6332 0.1250 0.0082  2 Mn 2.39, 2 Pt 2.44
As 0.8750 0.8832 0.5082  2 Mn 2.39, 2 Pt 2.44
Pt 0.2500 0.7500 0.5000  4 As 2.44
Pt 0.5000 0.5000 0.0000  4 As 2.44

Output
**Uncorrected energy**: -0.44721 Ry per atom
**Symmetry**: I-42d
**E above lowest polymorph**: 188 meV per atom
**N(E_F)**: 6.028 states/eV per cell



15.
First-principles (PBE) data for a relaxed structure of BaLaTe2F, as listed in the Alexandria database.

a b c (Å): 4.6015 4.6015 16.0539
angles (deg): 90.00 90.00 90.00
Closest atoms and distances in Å follow each position.
Element x y z (fractional)
Ba 0.2500 0.2500 0.0899  4 F 2.72
Ba 0.7500 0.7500 0.9101  4 F 2.72
La 0.2500 0.2500 0.6216  5 Te 2.97-3.29
La 0.7500 0.7500 0.3784  5 Te 2.97-3.29
Te 0.2500 0.2500 0.4078  5 La 3.29-3.43
Te 0.2500 0.2500 0.8065  1 La 2.97
Te 0.7500 0.7500 0.1935  1 La 2.97
Te 0.7500 0.7500 0.5922  5 La 3.29-3.43
F 0.2500 0.7500 0.0000  4 Ba 2.72
F 0.7500 0.2500 0.0000  4 Ba 2.72

Output
**Uncorrected energy**: -0.38670 Ry per atom
**Symmetry**: P4/nmm
**Energy relative to the elements, uncorrected**: -2.260 eV/atom
**N(E_F)**: 3.089 states/eV per cell



16.
First-principles (PBE) data for a relaxed structure of SbH2Br, as listed in the Alexandria database.

a b c (Å): 6.8495 6.8495 6.8495
angles (deg): 138.14 138.14 60.69
Closest atoms and distances in Å follow each position.
Element x y z (fractional)
Sb 0.3750 0.6250 0.7500  4 H 1.92
Sb 0.6250 0.3750 0.2500  4 H 1.92
H 0.0000 0.5000 0.5000  2 Sb 1.92
H 0.5000 0.0000 0.0000  2 Sb 1.92
H 0.5000 0.5000 0.0000  2 Sb 1.92
H 0.5000 0.5000 0.5000  2 Sb 1.92
Br 0.1250 0.8750 0.2500  8 H 3.11, 4 Sb 3.46
Br 0.8750 0.1250 0.7500  8 H 3.11, 4 Sb 3.46

Output
**Uncorrected energy**: -0.21282 Ry per atom
**Symmetry**: I4_1/amd
**E above lowest polymorph**: 0 meV per atom
**N(E_F)**: 0.774 states/eV per cell



17.
First-principles (PBE) data for a relaxed structure of LiEr2Sn, as listed in the Alexandria database.

a b c (Å): 11.6213 11.6213 11.6213
angles (deg): 16.80 16.80 16.80
Closest atoms and distances in Å follow each position.
Element x y z (fractional)
Li 0.0000 0.0000 0.0000  6 Er 3.29, 6 Li 3.40
Er 0.4102 0.4102 0.4102  1 Sn 3.08, 3 Li 3.29, 6 Er 3.40
Er 0.5898 0.5898 0.5898  1 Sn 3.08, 3 Li 3.29, 6 Er 3.40
Sn 0.5000 0.5000 0.5000  2 Er 3.08, 6 Sn 3.40

Output
**Uncorrected energy**: -0.26451 Ry per atom
**Symmetry**: R-3m
**E above lowest polymorph**: 563 meV per atom
**N(E_F)**: 3.695 states/eV per cell